Record 1
# NaSmP2H4CO7

A PBEsol-optimized structure of NaSmP2H4CO7 (SCAN, the Alexandria database).

Cell lengths 6.6750, 14.9690, 6.6586 Å; angles 90.00, 90.65, 90.00 degrees
Space group P2_1/c (No. 14)
Asymmetric unit:
Na 0.1918 0.0299 0.1340
Sm 0.3246 0.5968 0.1041
P 0.1786 0.0994 0.6314
P 0.4684 0.6607 0.6056
H 0.0074 0.6913 0.2373
H 0.1508 0.7117 0.4278
H 0.1834 0.2060 0.8945
H 0.3170 0.2464 0.6809
C 0.2923 0.1875 0.7775
O 0.0048 0.6387 0.9745
O 0.0747 0.6638 0.3545
O 0.1334 0.0202 0.7726
O 0.3301 0.0622 0.4757
O 0.3551 0.5999 0.7493
O 0.3610 0.7495 0.0675
O 0.4897 0.1135 0.0955

Values from the calculation:
E_tot ... -10.603 eV per atom
Total magnetization ... 0.00 μB per cell
Calculated volume ... 665 Å³/cell

---

Record 2
# Be4Au

A PBEsol-optimized structure of Be4Au (SCAN, the Alexandria database).

Cell lengths 5.1747, 5.1747, 5.1747 Å; angles 90.00, 90.00, 90.00 degrees
Space group Im-3m (No. 229)
Asymmetric unit:
Be 0.2500 0.2500 0.2500
Au 0.0000 0.0000 0.0000

Values from the calculation:
ΔH_f (0 K) ... 1.7 eV per formula unit
Total magnetization ... 0.00 μB per cell
Calculated volume ... 139 Å³/cell